Record 1
The following is a DFT calculation (PBE) of a relaxed RbYAgTe3 crystal.

Space group: Pnma, No. 62
E: -4.204 eV/atom

Lattice parameters (Å, degrees): 17.069 4.331 11.509 90.00 90.00 90.00
Element x y z (fractional)
1 Ag 0.015 0.250 0.093
2 Ag 0.515 0.250 0.407
3 Ag 0.485 0.750 0.593
4 Ag 0.985 0.750 0.907
5 Rb 0.233 0.750 0.036
6 Rb 0.733 0.750 0.464
7 Rb 0.267 0.250 0.536
8 Rb 0.767 0.250 0.964
9 Te 0.403 0.250 0.082
10 Te 0.909 0.750 0.129
11 Te 0.636 0.250 0.242
12 Te 0.136 0.250 0.258
13 Te 0.409 0.750 0.371
14 Te 0.903 0.250 0.418
15 Te 0.097 0.750 0.582
16 Te 0.591 0.250 0.629
17 Te 0.864 0.750 0.742
18 Te 0.364 0.750 0.758
19 Te 0.091 0.250 0.871
20 Te 0.597 0.750 0.918
21 Y 0.522 0.750 0.160
22 Y 0.022 0.750 0.340
23 Y 0.978 0.250 0.660
24 Y 0.478 0.250 0.840

---

Record 2
The following is a DFT calculation (PBE) of a relaxed RbZrAg3Te4 crystal.

Space group: P2_1/m, No. 11
Polymorph energy (0 for the lowest one): 0 meV/atom

Lattice parameters (Å, degrees): 6.628 8.546 10.895 90.00 106.75 90.00
Element x y z (fractional)
1 Ag 0.790 0.526 0.003
2 Ag 0.790 0.974 0.003
3 Ag 0.365 0.250 0.211
4 Ag 0.635 0.750 0.789
5 Ag 0.210 0.026 0.997
6 Ag 0.210 0.474 0.997
7 Rb 0.683 0.750 0.388
8 Rb 0.317 0.250 0.612
9 Te 0.467 0.750 0.017
10 Te 0.115 0.517 0.240
11 Te 0.115 0.983 0.240
12 Te 0.721 0.250 0.424
13 Te 0.279 0.750 0.576
14 Te 0.885 0.017 0.760
15 Te 0.885 0.483 0.760
16 Te 0.533 0.250 0.983
17 Zr 0.865 0.250 0.215
18 Zr 0.135 0.750 0.785